Entry from the Alexandria database: TlGeCl3 after structural relaxation (PBE-GGA).

Cell and atoms, written as POSCAR:
```
TlGeCl3
1.0
-8.0430 4.7989 2.3228
-3.6080 -7.9944 4.0232
-3.5162 -0.1359 8.1488
Tl Ge Cl
2 2 6
Cartesian
-7.9789 1.9843 8.3596
-9.4058 1.0809 5.2849
0.0000 0.0000 0.0000
-6.4748 -4.8640 7.6725
-5.6680 -6.2460 5.6501
-6.4330 -5.9303 10.0203
-5.0521 -2.8705 8.4805
-8.7463 -4.4093 6.5391
-4.5155 -0.7685 5.9957
-10.6517 -2.5630 8.4991
```

Output
DFT total energy in Ha/atom: -0.11300
N(E_F) in states/eV/f.u.: 0.0
Magnetization in μB/f.u.: 0.00
ρ in g/cm³: 2.409
Space-group type: No. 119